1 | DFT (GGA-PBE) results for a relaxed KRb3F crystal.

## Properties
ρ	1.04	g cm⁻³
DOS(E_F)	1.566	states/eV/atom

a b c (Å): 7.945 7.945 7.945
angles (deg): 90.00 90.00 90.00
Space group Pm-3m (No. 221)
Asymmetric unit:
K  0.000  0.000  0.000
Rb  0.000  0.000  0.500
F  0.500  0.500  0.500


2 | DFT (GGA-PBE) results for a relaxed KRb3F crystal.

## Properties
ρ	2.00	g cm⁻³
DOS(E_F)	0.654	states/eV/atom

a b c (Å): 6.390 6.390 6.390
angles (deg): 90.00 90.00 90.00
Space group Pm-3m (No. 221)
Asymmetric unit:
K  0.000  0.000  0.000
Rb  0.000  0.500  0.500
F  0.500  0.500  0.500


2 (704 meV per atom below the next structure)